Li2Dy2ThIn2 | PBE-GGA | relaxed

```
data_Li2Dy2ThIn2
_chemical_formula_sum 'Li6 Dy6 Th3 In6'
_cell_length_a 4.8849
_cell_length_b 4.8849
_cell_length_c 26.4556
_cell_angle_alpha 90.00
_cell_angle_beta 90.00
_cell_angle_gamma 120.00
_symmetry_space_group_name_H-M 'R -3 m'
_symmetry_Int_Tables_number 166
_symmetry_space_group_name_Hall '-R 3 2"'
loop_
_atom_site_label
_atom_site_fract_x
_atom_site_fract_y
_atom_site_fract_z
Li1 0.0000 0.0000 0.0949
Dy1 0.0000 0.0000 0.3711
Th1 0.0000 0.0000 0.5000
In1 0.0000 0.0000 0.2383
```

For the formation energy, the calculation gives -168 meV/atom. For the density of states at the Fermi level, the calculation gives 0.79 states/eV/atom.